An optimized crystal structure of HoCdMo2O8. Source: Alexandria, functional PBE with a Hubbard U.

Values from the calculation:
crystal system: tetragonal
raw total energy: -6.911 eV per atom
calculated volume: 154.9 Å³/cell
symmetry: I-4 (82)

Cell: 6.7548 6.7548 6.7548 Å, 134.39 134.39 66.47°
Sites, in units of the cell vectors:
Ho1 0.0000 0.0000 0.0000
Cd1 0.2500 0.7500 0.5000
Mo1 0.5000 0.5000 0.0000
Mo2 0.7500 0.2500 0.5000
O1 0.2429 0.6778 0.0849
O2 0.3222 0.4071 0.5651
O3 0.4204 0.0022 0.0969
O4 0.5929 0.1580 0.9151
O5 0.6764 0.5796 0.5818
O6 0.8420 0.7571 0.4349
O7 0.9054 0.3236 0.9031
O8 0.9978 0.0946 0.4182